Entry 1:
ScAlIn2 | GGA-PBEsol | relaxed

```
data_ScAlIn2
_cell_length_a 4.314
_cell_length_b 4.314
_cell_length_c 4.327
_cell_angle_alpha 90.00
_cell_angle_beta 90.00
_cell_angle_gamma 90.00
_symmetry_space_group_name_H-M 'P 4/m m m'
_symmetry_Int_Tables_number 123
_symmetry_space_group_name_Hall '-P 4 2'
loop_
_atom_site_label
_atom_site_fract_x
_atom_site_fract_y
_atom_site_fract_z
Sc1 0.000 0.000 0.000
Al1 0.500 0.500 0.000
In1 0.000 0.500 0.500
```

## Properties
Volume in Å³ per cell: 80.5
Fermi-level density of states in states/eV per atom: 0.444
Total magnetic moment in μB/cell: 0.000
ΔH_f (0 K) in eV/atom: -0.3566


Entry 2:
SrLiAl2 | GGA-PBEsol | relaxed

```
data_SrLiAl2
_cell_length_a 4.4979
_cell_length_b 4.4979
_cell_length_c 16.6297
_cell_angle_alpha 90.00
_cell_angle_beta 90.00
_cell_angle_gamma 120.00
_symmetry_space_group_name_H-M 'R 3 m'
_symmetry_Int_Tables_number 160
_symmetry_space_group_name_Hall 'R 3 -2"'
loop_
_atom_site_label
_atom_site_fract_x
_atom_site_fract_y
_atom_site_fract_z
Sr1 0.0000 0.0000 0.0000
Li1 0.0000 0.0000 0.1987
Al1 0.0000 0.0000 0.4944
Al2 0.0000 0.0000 0.7949
```

## Properties
Volume in Å³ per cell: 291.4
ΔE to the lowest computed polymorph in eV/atom: 0.000
Fermi-level density of states in states/eV per atom: 0.497
Total magnetic moment in μB/cell: 0.000
ΔH_f (0 K) in eV/atom: -0.1594


Entry 3:
GePtSe2Br | GGA-PBEsol | relaxed

```
data_GePtSe2Br
_cell_length_a 4.902
_cell_length_b 4.902
_cell_length_c 4.988
_cell_angle_alpha 90.00
_cell_angle_beta 90.00
_cell_angle_gamma 90.00
_symmetry_space_group_name_H-M 'P 4/m m m'
_symmetry_Int_Tables_number 123
_symmetry_space_group_name_Hall '-P 4 2'
loop_
_atom_site_label
_atom_site_fract_x
_atom_site_fract_y
_atom_site_fract_z
Ge1 0.000 0.000 0.000
Pt1 0.500 0.500 0.500
Se1 0.000 0.500 0.500
Br1 0.500 0.500 0.000
```

## Properties
Volume in Å³ per cell: 119.9
Formation energy from raw total energies in eV/atom: 0.34
Fermi-level density of states in states/eV per atom: 0.875
Total magnetic moment in μB/cell: 0.001


Entry 4:
LiReBr2 | GGA-PBEsol | relaxed

```
data_LiReBr2
_cell_length_a 4.957
_cell_length_b 3.224
_cell_length_c 9.082
_cell_angle_alpha 90.00
_cell_angle_beta 90.00
_cell_angle_gamma 90.00
_symmetry_space_group_name_H-M 'A m m 2'
_symmetry_Int_Tables_number 38
loop_
_symmetry_equiv_pos_as_xyz
'x,y,z'
'-x,-y,z'
'-x,y,z'
'x,-y,z'
'x,y+1/2,z+1/2'
'-x,-y+1/2,z+1/2'
'-x,y+1/2,z+1/2'
'x,-y+1/2,z+1/2'
loop_
_atom_site_label
_atom_site_fract_x
_atom_site_fract_y
_atom_site_fract_z
Li1 0.000 0.000 0.000
Re1 0.500 0.000 0.355
Br1 0.000 0.000 0.293
Br2 0.500 0.000 0.631
```

## Properties
Volume in Å³ per cell: 145.1
Formation energy from raw total energies in eV/atom: 0.26
ΔE to the lowest computed polymorph in eV/atom: 0.000
Fermi-level density of states in states/eV per atom: 0.539
Total magnetic moment in μB/cell: 0.000